{
  "formula": "Tl5Pt3N3",
  "functional": "GGA-PBE",
  "state": "relaxed",
  "total_energy_ev_per_atom": -4.66,
  "lattice": [[9.2038, 0.0000, 0.0000], [-4.6019, 7.9707, 0.0000], [0.0000, 0.0000, 3.7229]],
  "species": ["N", "N", "N", "Pt", "Pt", "Pt", "Tl", "Tl", "Tl", "Tl", "Tl"],
  "frac_coords": [[0.3631, 0.0000, 0.5000], [0.0000, 0.3631, 0.5000], [0.6369, 0.6369, 0.5000], [0.3630, 0.0000, 0.0000], [0.0000, 0.3630, 0.0000], [0.6370, 0.6370, 0.0000], [0.7347, 0.0000, 0.5000], [0.2653, 0.2653, 0.5000], [0.6667, 0.3333, 0.5000], [0.3333, 0.6667, 0.5000], [0.0000, 0.7347, 0.5000]]
}